Run P
Density functional theory data (PBE) for a geometry-optimized Tb3Ga2Pt7 structure.

abc: 4.041 4.041 14.204
angles: 98.18 98.18 90.00
Sites, in units of the cell vectors:
Tb (0.324, 0.324, 0.648)
Tb (0.676, 0.676, 0.352)
Tb (0.500, 0.500, 0.000)
Ga (0.131, 0.131, 0.262)
Ga (0.869, 0.869, 0.738)
Pt (0.000, 0.000, 0.000)
Pt (0.922, 0.422, 0.844)
Pt (0.422, 0.922, 0.844)
Pt (0.078, 0.578, 0.156)
Pt (0.578, 0.078, 0.156)
Pt (0.220, 0.220, 0.439)
Pt (0.780, 0.780, 0.561)

=====

Run Q
Density functional theory data (PBE) for a geometry-optimized Tb3Ga2Pt7 structure.

abc: 4.346 4.160 12.898
angles: 99.28 90.00 90.00
Sites, in units of the cell vectors:
Tb (0.500, 0.500, 0.000)
Tb (0.500, 0.653, 0.306)
Tb (0.500, 0.347, 0.694)
Ga (0.000, 0.728, 0.456)
Ga (0.000, 0.272, 0.544)
Pt (0.000, 0.420, 0.840)
Pt (0.000, 0.836, 0.672)
Pt (0.000, 0.000, 0.000)
Pt (0.000, 0.580, 0.160)
Pt (0.500, 0.079, 0.158)
Pt (0.500, 0.921, 0.842)
Pt (0.000, 0.164, 0.328)

=====

run P has the most favorable energy; the next structure is 0.166 eV/atom above.

=====

Run P
Density functional theory data (PBE) for a geometry-optimized GaTc3Pt structure.

abc: 4.460 4.460 4.460
angles: 90.00 90.00 90.00
Sites, in units of the cell vectors:
Ga (0.000, 0.000, 0.000)
Tc (0.000, 0.500, 0.000)
Tc (0.000, 0.000, 0.500)
Tc (0.500, 0.000, 0.000)
Pt (0.500, 0.500, 0.500)

=====

Run Q
Density functional theory data (PBE) for a geometry-optimized GaTc3Pt structure.

abc: 4.788 4.788 4.788
angles: 90.00 90.00 90.00
Each line ends with the local moment (μB).
Sites, in units of the cell vectors:
Ga (0.500, 0.500, 0.500)  -0.02
Tc (0.000, 0.500, 0.000)  1.43
Tc (0.000, 0.000, 0.500)  1.60
Tc (0.500, 0.000, 0.000)  1.19
Pt (0.000, 0.000, 0.000)  0.02

=====

run P has the most favorable energy; the next structure is 0.356 eV/atom above.

=====

Run P
Density functional theory data (PBE) for a geometry-optimized Ga2TcPt structure.

abc: 2.833 2.833 9.506
angles: 81.43 81.43 60.00
Each line ends with the local moment (μB).
Sites, in units of the cell vectors:
Ga (0.091, 0.091, 0.727)  0.00
Ga (0.909, 0.909, 0.273)  0.00
Tc (0.000, 0.000, 0.000)  0.08
Pt (0.500, 0.500, 0.500)  0.00

=====

Run Q
Density functional theory data (PBE) for a geometry-optimized Ga2TcPt structure.

abc: 3.280 4.228 4.228
angles: 90.00 90.00 90.00
Sites, in units of the cell vectors:
Ga (0.000, 0.000, 0.500)
Ga (0.000, 0.500, 0.000)
Tc (0.500, 0.000, 0.000)
Pt (0.500, 0.500, 0.500)

=====

run Q has the most favorable energy; the next structure is 0.480 eV/atom above.